Record 1
The following is a DFT calculation (PBEsol) of a relaxed Al2CrMo crystal.

CIF file:
```
data_Al2CrMo
_space_group_name_H-M_alt 'P m m m'
_space_group_IT_number 47
_cell_length_a 2.642
_cell_length_b 4.025
_cell_length_c 5.246
_cell_angle_alpha 90.00
_cell_angle_beta 90.00
_cell_angle_gamma 90.00
loop_
_space_group_symop_operation_xyz
'x,y,z'
'-x,-y,-z'
'-x,-y,z'
'x,y,-z'
'x,-y,-z'
'-x,y,z'
'-x,y,-z'
'x,-y,z'
loop_
_atom_site_label
_atom_site_type_symbol
_atom_site_fract_x
_atom_site_fract_y
_atom_site_fract_z
Al1 Al 0.000 0.000 0.244
Cr1 Cr 0.500 0.500 0.000
Mo1 Mo 0.500 0.500 0.500
```



Record 2
The following is a DFT calculation (PBEsol) of a relaxed Al2CrMo crystal.

CIF file:
```
data_Al2CrMo
_space_group_name_H-M_alt 'C m m m'
_space_group_IT_number 65
_space_group_name_Hall '-C 2 2'
_cell_length_a 5.270
_cell_length_b 7.971
_cell_length_c 2.695
_cell_angle_alpha 90.00
_cell_angle_beta 90.00
_cell_angle_gamma 90.00
loop_
_atom_site_label
_atom_site_type_symbol
_atom_site_fract_x
_atom_site_fract_y
_atom_site_fract_z
Al1 Al 0.250 0.250 0.000
Cr1 Cr 0.000 0.000 0.500
Mo1 Mo 0.000 0.500 0.500
```



Sequential formation energy output: 0.036; 0.038 eV/atom
Sequential E above lowest polymorph output: 183; 185 meV/atom